First-principles (GGA-PBE) data for a relaxed structure of Pr2TiCu, as listed in Alexandria.

Output
VASP energy = -19.429 eV per cell
crystal system = trigonal
space group = No. 166
Fermi-level density of states = 1.37 states/eV/atom

Cell and atoms, written as POSCAR:
```
Pr2TiCu
1.0
1.6672 0.9626 10.7855
-1.6672 0.9626 10.7855
0.0000 -1.9251 10.7855
Pr Ti Cu
2 1 1
Direct
0.0941 0.0941 0.0941
0.9059 0.9059 0.9059
0.0000 0.0000 0.0000
0.5000 0.5000 0.5000
```